This record from Alexandria via LeMat-Bulk describes an optimized crystal structure of CaBe. The functional is GGA-PBE.

Properties
energy above the most stable polymorph in this dataset	285	meV/atom
size of the total moment	0.0	μB/cell
calculated total energy	-9.477	eV/cell
calculated formation energy	0.49	eV/atom

a = 4.7589 Å, b = 4.7589 Å, c = 4.7589 Å
α = 60.00°, β = 60.00°, γ = 60.00°
Fractional positions:
Ca (0.1250, 0.1250, 0.1250)
Ca (0.8750, 0.8750, 0.8750)
Be (0.3750, 0.3750, 0.3750)
Be (0.6250, 0.6250, 0.6250)